Density functional theory data (GGA-PBE) for a geometry-optimized SrTa2W structure.

POSCAR file:
```
SrTa2W
1.0
3.418 0.000 0.000
0.000 3.418 0.000
0.000 0.000 7.887
Sr Ta W
1 2 1
direct
0.000 0.000 0.000
0.000 0.000 0.526
0.500 0.500 0.343
0.500 0.500 0.690
```

Calculated values
**DFT formation energy**: 2.619 eV per formula unit
**Crystal system**: tetragonal
**Spin magnetization**: 0.00 μB/f.u.
**Relative energy among the computed polymorphs**: 32 kJ/mol of formula units
**Density of states at the Fermi level**: 1.479 states/eV/atom
**V**: 92.2 Å³/f.u.